# 1
CeP2Pd after structural relaxation, computed with PBE.

Cell lengths 4.0218, 4.0218, 16.0207 Å; angles 90.00, 90.00, 120.00 degrees
Space group R-3m (No. 166, hexagonal axes)
Inequivalent atoms, fractional coordinates:
Ce1 0.0000 0.0000 0.0000 [3 per cell]
P1 0.0000 0.0000 0.2355 [6 per cell]
Pd1 0.0000 0.0000 0.5000 [3 per cell]

- energy relative to the elements (meV per atom) = -839
- calculated volume (Å³/cell) = 224
- total moment (μB/f.u.) = 0.03

# 2
Ce3P6Pd20 after structural relaxation, computed with PBE.

Cell lengths 12.356, 12.356, 12.356 Å; angles 90.00, 90.00, 90.00 degrees
Space group Fm-3m (No. 225)
Inequivalent atoms, fractional coordinates:
Ce1 0.000 0.000 0.000 [4 per cell]
Ce2 0.250 0.250 0.250 [8 per cell]
P1 0.000 0.000 0.264 [24 per cell]
Pd1 0.000 0.173 0.173 [48 per cell]
Pd2 0.115 0.115 0.385 [32 per cell]

- energy relative to the elements (meV per atom) = -666
- calculated volume (Å³/cell) = 1886
- total moment (μB/f.u.) = 1.60